Run A
Density functional theory data (PBE) for a relaxed structure of Ga3GeRu.

Cell and atoms, written as CIF:
```
data_Ga3GeRu
_chemical_formula_sum 'Ga3 Ge1 Ru1'
_symmetry_space_group_name_H-M 'P m -3 m'
_symmetry_Int_Tables_number 221
_symmetry_space_group_name_Hall '-P 4 2 3'
_cell_length_a 4.807
_cell_length_b 4.807
_cell_length_c 4.807
_cell_angle_alpha 90.00
_cell_angle_beta 90.00
_cell_angle_gamma 90.00
loop_
_atom_site_label
_atom_site_fract_x
_atom_site_fract_y
_atom_site_fract_z
_atom_site_occupancy
Ga1 0.000 0.000 0.500 1
Ge1 0.500 0.500 0.500 1
Ru1 0.000 0.000 0.000 1
```



Run B
Density functional theory data (PBE) for a relaxed structure of Ga3GeRu.

Cell and atoms, written as CIF:
```
data_Ga3GeRu
_chemical_formula_sum 'Ga3 Ge1 Ru1'
_symmetry_space_group_name_H-M 'P m -3 m'
_symmetry_Int_Tables_number 221
_symmetry_space_group_name_Hall '-P 4 2 3'
_cell_length_a 4.808
_cell_length_b 4.808
_cell_length_c 4.808
_cell_angle_alpha 90.00
_cell_angle_beta 90.00
_cell_angle_gamma 90.00
loop_
_atom_site_label
_atom_site_fract_x
_atom_site_fract_y
_atom_site_fract_z
_atom_site_occupancy
Ga1 0.000 0.000 0.500 1
Ge1 0.000 0.000 0.000 1
Ru1 0.500 0.500 0.500 1
```



How far above the most stable structure does each one sit? In kJ/mol of atoms: run A 0.0; run B 79.6.